CrTcOs2 (PBE-GGA, relaxed); theoretical density = 15.7 g cm⁻³; M_tot = 0.9 μB/cell; raw total energy = -10.314 eV per atom; E_form = 0.2978 eV/atom; symmetry = No. 44
1.0
-1.430 2.194 4.470
1.430 -2.194 4.470
1.430 2.194 -4.470
Cr Tc Os
1 1 2
direct
0.000 0.000 0.000
0.223 0.723 0.500
0.498 0.498 0.000
0.775 0.275 0.500